# 1
## K3Cu2AuCl9 (PBE)

Data for K3Cu2AuCl9 after structural relaxation.

Cell lengths 6.9883, 6.9883, 8.5777 Å; angles 90.00, 90.00, 120.00 degrees
Element x y z (fractional)
K  0.0000  0.0000  0.0000
K  0.3333  0.6667  0.6756
K  0.6667  0.3333  0.3244
Cu  0.3333  0.6667  0.1589
Cu  0.6667  0.3333  0.8411
Au  0.0000  0.0000  0.5000
Cl  0.0000  0.5000  0.0000
Cl  0.1716  0.3433  0.3276
Cl  0.1716  0.8284  0.3276
Cl  0.3433  0.1716  0.6724
Cl  0.5000  0.0000  0.0000
Cl  0.5000  0.5000  0.0000
Cl  0.6567  0.8284  0.3276
Cl  0.8284  0.1716  0.6724
Cl  0.8284  0.6567  0.6724

Values from the calculation:
* DOS at the Fermi energy: 5.00 states/eV/cell
* DFT total energy: -46.85 eV for the cell shown
* crystal system: trigonal
* formation energy without anion corrections: -1031.4 meV/atom

# 2
## Li2CuAuCl (PBE)

Data for Li2CuAuCl after structural relaxation.

Cell lengths 5.0519, 5.0519, 4.7854 Å; angles 90.00, 90.00, 90.00 degrees
Element x y z (fractional)
Li  0.0000  0.5000  0.0000
Li  0.5000  0.0000  0.0000
Cu  0.0000  0.0000  0.5000
Au  0.0000  0.0000  0.0000
Cl  0.5000  0.5000  0.5000

Values from the calculation:
* DOS at the Fermi energy: 1.20 states/eV/cell
* DFT total energy: -14.12 eV for the cell shown
* crystal system: tetragonal
* formation energy without anion corrections: -214.7 meV/atom

# 3
## MnCuAuCl6 (PBE)

Data for MnCuAuCl6 after structural relaxation.

Cell lengths 6.2156, 6.2156, 11.6931 Å; angles 90.00, 90.00, 120.00 degrees
Element x y z (fractional)
Mn  0.3333  0.6667  0.2500
Mn  0.6667  0.3333  0.7500
Cu  0.3333  0.6667  0.7500
Cu  0.6667  0.3333  0.2500
Au  0.0000  0.0000  0.0000
Au  0.0000  0.0000  0.5000
Cl  0.0082  0.3544  0.1340
Cl  0.0082  0.6537  0.3660
Cl  0.3463  0.3544  0.3660
Cl  0.3463  0.9918  0.1340
Cl  0.3544  0.0082  0.6340
Cl  0.3544  0.3463  0.8660
Cl  0.6456  0.6537  0.1340
Cl  0.6456  0.9918  0.3660
Cl  0.6537  0.0082  0.8660
Cl  0.6537  0.6456  0.6340
Cl  0.9918  0.3463  0.6340
Cl  0.9918  0.6456  0.8660

Values from the calculation:
* DOS at the Fermi energy: 9.85 states/eV/cell
* DFT total energy: -65.13 eV for the cell shown
* crystal system: trigonal
* formation energy without anion corrections: -549.2 meV/atom

# 4
## Na2CuAuCl6 (PBE)

Data for Na2CuAuCl6 after structural relaxation.

Cell lengths 6.9895, 6.9895, 6.9895 Å; angles 60.00, 60.00, 60.00 degrees
Element x y z (fractional)
Na  0.2500  0.2500  0.2500
Na  0.7500  0.7500  0.7500
Cu  0.0000  0.0000  0.0000
Au  0.5000  0.5000  0.5000
Cl  0.2426  0.2426  0.7574
Cl  0.2426  0.7574  0.2426
Cl  0.2426  0.7574  0.7574
Cl  0.7574  0.2426  0.2426
Cl  0.7574  0.2426  0.7574
Cl  0.7574  0.7574  0.2426

Values from the calculation:
* DOS at the Fermi energy: 3.97 states/eV/cell
* DFT total energy: -29.37 eV for the cell shown
* crystal system: cubic
* formation energy without anion corrections: -827.4 meV/atom

Question: What is the formula in the fourth record?
Answer: Na2CuAuCl6

Question: formation energy without anion corrections of number 1 (K3Cu2AuCl9)?
Answer: -1031.4 meV/atom